VASP calculation (GGA+U) on a relaxed TePWO2 crystal.

a = 3.960 Å, b = 3.960 Å, c = 5.552 Å
α = 90.00°, β = 90.00°, γ = 90.00°
Last column: magnetic moment on the atom in μB.
Fractional positions:
P (0.000, 0.000, 0.500)  -0.17
Te (0.000, 0.000, 0.000)  0.03
O (0.000, 0.500, 0.000)  0.04
O (0.500, 0.000, 0.000)  0.04
W (0.500, 0.500, 0.500)  3.09

## Properties
- Magnetization: 3.510 μB/cell
- Excess energy over the best structure of this formula in the dataset: 0.906 eV/atom
- VASP energy: -5.00 eV per atom
- DOS(E_F): 2.62 states/eV/cell